First-principles (PBE) data for an optimized crystal structure of CaPm2Zn, as listed in Alexandria.

a = 3.742 Å, b = 3.742 Å, c = 10.971 Å
α = 80.18°, β = 80.18°, γ = 60.00°
Fractional positions:
Ca (0.500, 0.500, 0.500)
Pm (0.068, 0.068, 0.797)
Pm (0.266, 0.266, 0.202)
Zn (0.667, 0.667, 0.000)

Calculated values
DOS(E_F) = 5.54 states/eV/cell
M_tot = 0.00 μB per formula unit
Formation enthalpy at 0 K = -0.002 eV per atom